1.
This record from the Alexandria database describes crystalline TbTmIr2 at its relaxed geometry. The functional is PBEsol.

## Properties
Energy of formation (kJ/mol of atoms): -78.73
Space-group type: Fm-3m, No. 225
Crystal system: cubic
Raw total energy (eV per atom): -8.2049
DOS(E_F) (states/eV/cell): 1.75

The structure in CIF format:
```
data_TbTmIr2
_space_group_name_H-M_alt 'P 1'
_space_group_IT_number 1
_space_group_name_Hall 'P 1'
_cell_length_a 4.755
_cell_length_b 4.755
_cell_length_c 4.755
_cell_angle_alpha 60.00
_cell_angle_beta 60.00
_cell_angle_gamma 60.00
loop_
_atom_site_label
_atom_site_type_symbol
_atom_site_fract_x
_atom_site_fract_y
_atom_site_fract_z
Tb1 Tb 0.000 0.000 0.000
Tm1 Tm 0.500 0.500 0.500
Ir1 Ir 0.250 0.250 0.250
Ir2 Ir 0.750 0.750 0.750
```

---

2.
This record from the Alexandria database describes crystalline Tb2ZnIr at its relaxed geometry. The functional is PBEsol.

## Properties
Energy of formation (kJ/mol of atoms): -56.84
Space-group type: Fm-3m, No. 225
Crystal system: cubic
Raw total energy (eV per atom): -5.9455
DOS(E_F) (states/eV/cell): 2.01

The structure in CIF format:
```
data_Tb2ZnIr
_space_group_name_H-M_alt 'P 1'
_space_group_IT_number 1
_space_group_name_Hall 'P 1'
_cell_length_a 4.869
_cell_length_b 4.869
_cell_length_c 4.869
_cell_angle_alpha 60.00
_cell_angle_beta 60.00
_cell_angle_gamma 60.00
loop_
_atom_site_label
_atom_site_type_symbol
_atom_site_fract_x
_atom_site_fract_y
_atom_site_fract_z
Tb1 Tb 0.250 0.250 0.250
Tb2 Tb 0.750 0.750 0.750
Zn1 Zn 0.000 0.000 0.000
Ir1 Ir 0.500 0.500 0.500
```

---

3.
This record from the Alexandria database describes crystalline TcIr5 at its relaxed geometry. The functional is PBEsol.

## Properties
Energy of formation (kJ/mol of atoms): -9.24
Offset from the most stable computed form (eV per atom): 0.021
Space-group type: P-62m, No. 189
Crystal system: hexagonal
Raw total energy (eV per atom): -10.1597
DOS(E_F) (states/eV/cell): 5.52

The structure in CIF format:
```
data_TcIr5
_space_group_name_H-M_alt 'P 1'
_space_group_IT_number 1
_space_group_name_Hall 'P 1'
_cell_length_a 4.721
_cell_length_b 4.721
_cell_length_c 4.364
_cell_angle_alpha 90.00
_cell_angle_beta 90.00
_cell_angle_gamma 120.00
loop_
_atom_site_label
_atom_site_type_symbol
_atom_site_fract_x
_atom_site_fract_y
_atom_site_fract_z
Tc1 Tc 0.000 0.000 0.000
Ir1 Ir 0.000 0.666 0.500
Ir2 Ir 0.333 0.667 0.000
Ir3 Ir 0.334 0.334 0.500
Ir4 Ir 0.666 0.000 0.500
Ir5 Ir 0.667 0.333 0.000
```

---

4.
This record from the Alexandria database describes crystalline TcIr8 at its relaxed geometry. The functional is PBEsol.

## Properties
Energy of formation (kJ/mol of atoms): -8.98
Space-group type: I4/mmm, No. 139
Crystal system: tetragonal
Raw total energy (eV per atom): -10.0769
DOS(E_F) (states/eV/cell): 6.82

The structure in CIF format:
```
data_TcIr8
_space_group_name_H-M_alt 'P 1'
_space_group_IT_number 1
_space_group_name_Hall 'P 1'
_cell_length_a 6.053
_cell_length_b 6.053
_cell_length_c 6.053
_cell_angle_alpha 95.73
_cell_angle_beta 95.73
_cell_angle_gamma 143.15
loop_
_atom_site_label
_atom_site_type_symbol
_atom_site_fract_x
_atom_site_fract_y
_atom_site_fract_z
Tc1 Tc 0.000 0.000 0.000
Ir1 Ir 0.000 0.331 0.331
Ir2 Ir 0.000 0.669 0.669
Ir3 Ir 0.331 0.000 0.331
Ir4 Ir 0.337 0.337 0.673
Ir5 Ir 0.337 0.663 0.000
Ir6 Ir 0.663 0.337 0.000
Ir7 Ir 0.663 0.663 0.327
Ir8 Ir 0.669 0.000 0.669
```

---

5.
This record from the Alexandria database describes crystalline TcIr at its relaxed geometry. The functional is PBEsol.

## Properties
Energy of formation (kJ/mol of atoms): -23.10
Offset from the most stable computed form (eV per atom): 0.072
Space-group type: C2/m, No. 12
Crystal system: monoclinic
Raw total energy (eV per atom): -10.7843
DOS(E_F) (states/eV/cell): 2.78

The structure in CIF format:
```
data_TcIr
_space_group_name_H-M_alt 'P 1'
_space_group_IT_number 1
_space_group_name_Hall 'P 1'
_cell_length_a 5.108
_cell_length_b 5.108
_cell_length_c 4.738
_cell_angle_alpha 117.50
_cell_angle_beta 117.50
_cell_angle_gamma 30.83
loop_
_atom_site_label
_atom_site_type_symbol
_atom_site_fract_x
_atom_site_fract_y
_atom_site_fract_z
Tc1 Tc 0.125 0.125 0.291
Tc2 Tc 0.875 0.875 0.709
Ir1 Ir 0.377 0.377 0.209
Ir2 Ir 0.623 0.623 0.791
```

---

6.
This record from the Alexandria database describes crystalline Tc5Ir at its relaxed geometry. The functional is PBEsol.

## Properties
Energy of formation (kJ/mol of atoms): -13.66
Offset from the most stable computed form (eV per atom): 0.000
Space-group type: P-62m, No. 189
Crystal system: hexagonal
Raw total energy (eV per atom): -11.1674
DOS(E_F) (states/eV/cell): 4.57

The structure in CIF format:
```
data_Tc5Ir
_space_group_name_H-M_alt 'P 1'
_space_group_IT_number 1
_space_group_name_Hall 'P 1'
_cell_length_a 4.725
_cell_length_b 4.725
_cell_length_c 4.318
_cell_angle_alpha 90.00
_cell_angle_beta 90.00
_cell_angle_gamma 120.00
loop_
_atom_site_label
_atom_site_type_symbol
_atom_site_fract_x
_atom_site_fract_y
_atom_site_fract_z
Tc1 Tc 0.000 0.333 0.000
Tc2 Tc 0.333 0.000 0.000
Tc3 Tc 0.333 0.667 0.500
Tc4 Tc 0.667 0.333 0.500
Tc5 Tc 0.667 0.667 0.000
Ir1 Ir 0.000 0.000 0.500
```

---

7.
This record from the Alexandria database describes crystalline Tc3Ir at its relaxed geometry. The functional is PBEsol.

## Properties
Energy of formation (kJ/mol of atoms): 268.25
Offset from the most stable computed form (eV per atom): 2.974
Space-group type: Pm-3m, No. 221
Crystal system: cubic
Raw total energy (eV per atom): -8.1254
DOS(E_F) (states/eV/cell): 4.69

The structure in CIF format:
```
data_Tc3Ir
_space_group_name_H-M_alt 'P 1'
_space_group_IT_number 1
_space_group_name_Hall 'P 1'
_cell_length_a 4.686
_cell_length_b 4.686
_cell_length_c 4.686
_cell_angle_alpha 90.00
_cell_angle_beta 90.00
_cell_angle_gamma 90.00
loop_
_atom_site_label
_atom_site_type_symbol
_atom_site_fract_x
_atom_site_fract_y
_atom_site_fract_z
Tc1 Tc 0.000 0.000 0.500
Tc2 Tc 0.000 0.500 0.000
Tc3 Tc 0.500 0.000 0.000
Ir1 Ir 0.000 0.000 0.000
```

---

8.
This record from the Alexandria database describes crystalline TcIr2 at its relaxed geometry. The functional is PBEsol.

## Properties
Energy of formation (kJ/mol of atoms): -12.90
Offset from the most stable computed form (eV per atom): 0.108
Space-group type: P-3m1, No. 164
Crystal system: trigonal
Raw total energy (eV per atom): -10.4381
DOS(E_F) (states/eV/cell): 2.64

The structure in CIF format:
```
data_TcIr2
_space_group_name_H-M_alt 'P 1'
_space_group_IT_number 1
_space_group_name_Hall 'P 1'
_cell_length_a 2.702
_cell_length_b 2.702
_cell_length_c 6.638
_cell_angle_alpha 90.00
_cell_angle_beta 90.00
_cell_angle_gamma 120.00
loop_
_atom_site_label
_atom_site_type_symbol
_atom_site_fract_x
_atom_site_fract_y
_atom_site_fract_z
Tc1 Tc 0.000 0.000 0.000
Ir1 Ir 0.333 0.667 0.674
Ir2 Ir 0.667 0.333 0.326
```

---

9.
This record from the Alexandria database describes crystalline TcIr2 at its relaxed geometry. The functional is PBEsol.

## Properties
Energy of formation (kJ/mol of atoms): -23.27
Offset from the most stable computed form (eV per atom): 0.000
Space-group type: Cmcm, No. 63
Crystal system: orthorhombic
Raw total energy (eV per atom): -10.5456
DOS(E_F) (states/eV/cell): 3.93

The structure in CIF format:
```
data_TcIr2
_space_group_name_H-M_alt 'P 1'
_space_group_IT_number 1
_space_group_name_Hall 'P 1'
_cell_length_a 7.239
_cell_length_b 7.239
_cell_length_c 4.334
_cell_angle_alpha 90.00
_cell_angle_beta 90.00
_cell_angle_gamma 158.39
loop_
_atom_site_label
_atom_site_type_symbol
_atom_site_fract_x
_atom_site_fract_y
_atom_site_fract_z
Tc1 Tc 0.112 0.888 0.750
Tc2 Tc 0.888 0.112 0.250
Ir1 Ir 0.224 0.776 0.250
Ir2 Ir 0.446 0.554 0.750
Ir3 Ir 0.554 0.446 0.250
Ir4 Ir 0.776 0.224 0.750
```

---

10.
This record from the Alexandria database describes crystalline TcIr2 at its relaxed geometry. The functional is PBEsol.

## Properties
Energy of formation (kJ/mol of atoms): -21.70
Offset from the most stable computed form (eV per atom): 0.016
Space-group type: Pnma, No. 62
Crystal system: orthorhombic
Raw total energy (eV per atom): -10.5292
DOS(E_F) (states/eV/cell): 9.24

The structure in CIF format:
```
data_TcIr2
_space_group_name_H-M_alt 'P 1'
_space_group_IT_number 1
_space_group_name_Hall 'P 1'
_cell_length_a 4.712
_cell_length_b 4.331
_cell_length_c 8.198
_cell_angle_alpha 90.00
_cell_angle_beta 90.00
_cell_angle_gamma 90.00
loop_
_atom_site_label
_atom_site_type_symbol
_atom_site_fract_x
_atom_site_fract_y
_atom_site_fract_z
Tc1 Tc 0.170 0.250 0.166
Tc2 Tc 0.330 0.750 0.666
Tc3 Tc 0.670 0.250 0.334
Tc4 Tc 0.830 0.750 0.834
Ir1 Ir 0.163 0.250 0.833
Ir2 Ir 0.169 0.250 0.498
Ir3 Ir 0.331 0.750 0.998
Ir4 Ir 0.337 0.750 0.333
Ir5 Ir 0.663 0.250 0.667
Ir6 Ir 0.669 0.250 0.002
Ir7 Ir 0.831 0.750 0.502
Ir8 Ir 0.837 0.750 0.167
```

---

11.
This record from the Alexandria database describes crystalline Tc3Ir at its relaxed geometry. The functional is PBEsol.

## Properties
Energy of formation (kJ/mol of atoms): -18.65
Offset from the most stable computed form (eV per atom): 0.000
Space-group type: Imm2, No. 44
Crystal system: orthorhombic
Raw total energy (eV per atom): -11.0989
DOS(E_F) (states/eV/cell): 3.53

The structure in CIF format:
```
data_Tc3Ir
_space_group_name_H-M_alt 'P 1'
_space_group_IT_number 1
_space_group_name_Hall 'P 1'
_cell_length_a 5.113
_cell_length_b 5.113
_cell_length_c 5.113
_cell_angle_alpha 149.25
_cell_angle_beta 64.57
_cell_angle_gamma 124.75
loop_
_atom_site_label
_atom_site_type_symbol
_atom_site_fract_x
_atom_site_fract_y
_atom_site_fract_z
Tc1 Tc 0.000 0.000 0.000
Tc2 Tc 0.080 0.330 0.750
Tc3 Tc 0.581 0.330 0.250
Ir1 Ir 0.498 0.998 0.500
```

---

12.
This record from the Alexandria database describes crystalline TcIr2 at its relaxed geometry. The functional is PBEsol.

## Properties
Energy of formation (kJ/mol of atoms): -17.10
Offset from the most stable computed form (eV per atom): 0.064
Space-group type: I4_1/amd, No. 141
Crystal system: tetragonal
Raw total energy (eV per atom): -10.4816
DOS(E_F) (states/eV/cell): 9.05

The structure in CIF format:
```
data_TcIr2
_space_group_name_H-M_alt 'P 1'
_space_group_IT_number 1
_space_group_name_Hall 'P 1'
_cell_length_a 11.735
_cell_length_b 11.735
_cell_length_c 11.735
_cell_angle_alpha 161.21
_cell_angle_beta 161.21
_cell_angle_gamma 26.69
loop_
_atom_site_label
_atom_site_type_symbol
_atom_site_fract_x
_atom_site_fract_y
_atom_site_fract_z
Tc1 Tc 0.290 0.540 0.750
Tc2 Tc 0.460 0.710 0.750
Tc3 Tc 0.540 0.290 0.250
Tc4 Tc 0.710 0.460 0.250
Ir1 Ir 0.041 0.791 0.250
Ir2 Ir 0.124 0.374 0.750
Ir3 Ir 0.209 0.959 0.250
Ir4 Ir 0.374 0.124 0.250
Ir5 Ir 0.626 0.876 0.750
Ir6 Ir 0.791 0.041 0.750
Ir7 Ir 0.876 0.626 0.250
Ir8 Ir 0.959 0.209 0.750
```